# 1
Material: La3Al9Ge2
Method: DFT, PBE
State: optimized geometry

abc: 8.5553 8.5553 8.5553
angles: 149.19 108.53 79.83
Element x y z (fractional)
1 La 0.0000 0.0000 0.0000
2 La 0.3176 0.3176 0.0000
3 La 0.6824 0.6824 0.0000
4 Al 0.0332 0.6656 0.3676
5 Al 0.1306 0.8595 0.2711
6 Al 0.2980 0.6656 0.6324
7 Al 0.4116 0.1405 0.2711
8 Al 0.5000 0.0000 0.5000
9 Al 0.5884 0.8595 0.7289
10 Al 0.7020 0.3344 0.3676
11 Al 0.8694 0.1405 0.7289
12 Al 0.9668 0.3344 0.6324
13 Ge 0.2806 0.5000 0.7806
14 Ge 0.7194 0.5000 0.2194

Results
- space-group type = Immm (71)
- final energy (eV/atom) = -4.4912
- volume (Å³/cell) = 298.0
- energy of formation (eV per atom) = -0.3698

***

# 2
Material: SnHg2OsSe
Method: DFT, PBE
State: optimized geometry

abc: 5.5476 5.5476 5.3098
angles: 90.00 90.00 90.00
Element x y z (fractional)
1 Sn 0.0000 0.0000 0.0000
2 Hg 0.0000 0.5000 0.0000
3 Hg 0.5000 0.0000 0.0000
4 Os 0.5000 0.5000 0.5000
5 Se 0.0000 0.0000 0.5000

Results
- space-group type = P4/mmm (123)
- final energy (eV/atom) = -2.3677
- formation energy from raw total energies (eV per atom) = 1.496
- volume (Å³/cell) = 163.4

***

# 3
Material: PdPb6Au
Method: DFT, PBE
State: optimized geometry

abc: 6.7511 6.7511 6.4413
angles: 104.82 104.82 117.02
Element x y z (fractional)
1 Pd 0.0000 0.0000 0.0000
2 Pb 0.0392 0.4443 0.2474
3 Pb 0.2429 0.2429 0.7561
4 Pb 0.4443 0.0392 0.2474
5 Pb 0.5557 0.9608 0.7526
6 Pb 0.7571 0.7571 0.2439
7 Pb 0.9608 0.5557 0.7526
8 Au 0.5000 0.5000 0.5000

Results
- relative energy among the computed polymorphs (meV/atom) = 35
- space-group type = C2/m (12)
- final energy (eV/atom) = -3.8382
- volume (Å³/cell) = 228.0
- energy of formation (eV per atom) = 0.0019

***

# 4
Material: Tb6Er8Cd
Method: DFT, PBE
State: optimized geometry

abc: 12.3843 12.3843 3.5666
angles: 90.00 90.00 120.00
Element x y z (fractional)
1 Tb 0.1064 0.6207 0.3747
2 Tb 0.3793 0.4857 0.3747
3 Tb 0.4857 0.1064 0.6253
4 Tb 0.5143 0.8936 0.3747
5 Tb 0.6207 0.5143 0.6253
6 Tb 0.8936 0.3793 0.6253
7 Er 0.1008 0.3190 0.0009
8 Er 0.2182 0.8992 0.0009
9 Er 0.3190 0.2182 0.9991
10 Er 0.3333 0.6667 0.8669
11 Er 0.6667 0.3333 0.1331
12 Er 0.6810 0.7818 0.0009
13 Er 0.7818 0.1008 0.9991
14 Er 0.8992 0.6810 0.9991
15 Cd 0.0000 0.0000 0.5000

Results
- space-group type = P-3 (147)
- final energy (eV/atom) = -4.0621
- volume (Å³/cell) = 473.7
- energy of formation (eV per atom) = 0.2846

***

# 5
Material: Ba2PdAu
Method: DFT, PBE
State: optimized geometry

abc: 8.1830 8.1830 8.1830
angles: 33.17 33.17 33.17
Element x y z (fractional)
1 Ba 0.2449 0.2449 0.2449
2 Ba 0.7551 0.7551 0.7551
3 Pd 0.5000 0.5000 0.5000
4 Au 0.0000 0.0000 0.0000

Results
- space-group type = R-3m (166)
- final energy (eV/atom) = -3.6465
- volume (Å³/cell) = 146.0
- energy of formation (eV per atom) = -0.5675

***

# 6
Material: PbAuSe2
Method: DFT, PBE
State: optimized geometry

abc: 4.4906 4.4906 7.9600
angles: 117.00 117.00 52.11
Element x y z (fractional)
1 Pb 0.0000 0.0000 0.0000
2 Au 0.0000 0.0000 0.5000
3 Se 0.4471 0.4471 0.2650
4 Se 0.5529 0.5529 0.7350

Results
- space-group type = C2/m (12)
- final energy (eV/atom) = -3.7044
- formation energy from raw total energies (eV per atom) = -0.216
- volume (Å³/cell) = 109.3

***

| no. | size of the total moment (μB per cell) |
| --- | --- |
| 1 | 0.00 |
| 2 | 4.07 |
| 3 | 0.00 |
| 4 | 0.00 |
| 5 | 0.00 |
| 6 | 0.00 |